No. 1
Computed, not measured: a relaxed structure of PrB4Pb at the GGA-PBE level of DFT.

a b c (Å): 3.278 3.278 8.804
angles (deg): 90.00 90.00 120.00
Fractional positions:
B 0.667 0.333 0.265
B 0.333 0.667 0.265
B 0.667 0.333 0.735
B 0.333 0.667 0.735
Pb 0.000 0.000 0.000
Pr 0.000 0.000 0.500

SG   P6/mmm
Energy above the most stable polymorph in this dataset   96.6 meV per atom

No. 2
Computed, not measured: a relaxed structure of GaFeCuAu at the GGA-PBE level of DFT.

a b c (Å): 4.332 4.332 4.332
angles (deg): 60.00 60.00 60.00
Fractional positions:
Au 0.500 0.500 0.500
Cu 0.750 0.750 0.750
Fe 0.250 0.250 0.250
Ga 0.000 0.000 0.000

SG   F-43m
Energy above the most stable polymorph in this dataset   0.0 meV per atom

No. 3
Computed, not measured: a relaxed structure of CsHfNO at the GGA-PBE level of DFT.

a b c (Å): 4.491 4.491 8.386
angles (deg): 90.00 90.00 90.00
Fractional positions:
Cs 0.750 0.250 0.500
Cs 0.250 0.750 0.500
Hf 0.750 0.750 0.066
Hf 0.250 0.250 0.934
N 0.750 0.750 0.283
N 0.250 0.250 0.717
O 0.750 0.250 0.000
O 0.250 0.750 0.000

SG   P4/nmm
Energy above the most stable polymorph in this dataset   682.3 meV per atom

No. 4
Computed, not measured: a relaxed structure of CoTeAs at the GGA-PBE level of DFT.

a b c (Å): 4.318 4.318 4.318
angles (deg): 60.00 60.00 60.00
Fractional positions:
As 0.250 0.250 0.250
Co 0.000 0.000 0.000
Te 0.750 0.750 0.750

Raw total energy   -0.182 Ha/atom
SG   F-43m

No. 5
Computed, not measured: a relaxed structure of HfTc2B2 at the GGA-PBE level of DFT.

a b c (Å): 5.364 5.364 5.364
angles (deg): 140.44 140.44 57.18
Fractional positions:
B 0.406 0.406 0.000
B 0.594 0.594 0.000
Hf 0.000 0.000 0.000
Tc 0.750 0.250 0.500
Tc 0.250 0.750 0.500

Raw total energy   -0.337 Ha/atom
SG   I4/mmm

No. 6
Computed, not measured: a relaxed structure of NdSiGePd2 at the GGA-PBE level of DFT.

a b c (Å): 4.306 4.306 10.091
angles (deg): 90.00 90.00 90.00
Fractional positions:
Ge 0.000 0.000 0.500
Ge 0.500 0.500 0.500
Nd 0.000 0.500 0.251
Nd 0.500 0.000 0.749
Pd 0.000 0.000 0.000
Pd 0.500 0.500 0.000
Pd 0.500 0.000 0.363
Pd 0.000 0.500 0.637
Si 0.500 0.000 0.125
Si 0.000 0.500 0.875

SG   P4/nmm
Energy above the most stable polymorph in this dataset   20.2 meV per atom

No. 7
Computed, not measured: a relaxed structure of RbWAuSe2S at the GGA-PBE level of DFT.

a b c (Å): 8.040 8.040 9.920
angles (deg): 90.00 90.00 151.55
Each line ends with the local moment (μB).
Fractional positions:
Au 0.052 0.948 0.250  0.03
Au 0.948 0.052 0.750  0.03
Rb 0.747 0.253 0.250  0.00
Rb 0.253 0.747 0.750  0.00
S 0.445 0.555 0.250  -0.02
S 0.555 0.445 0.750  -0.02
Se 0.113 0.887 0.017  0.00
Se 0.113 0.887 0.483  0.00
Se 0.887 0.113 0.517  0.00
Se 0.887 0.113 0.983  0.00
W 0.500 0.500 0.000  1.59
W 0.500 0.500 0.500  1.58

Raw total energy   -0.182 Ha/atom
SG   Cmcm

No. 8
Computed, not measured: a relaxed structure of KSmZnTe3 at the GGA-PBE level of DFT.

a b c (Å): 8.231 8.231 11.863
angles (deg): 90.00 90.00 31.22
Fractional positions:
K 0.751 0.751 0.250
K 0.249 0.249 0.750
Sm 0.000 0.000 0.000
Sm 0.000 0.000 0.500
Te 0.368 0.368 0.065
Te 0.070 0.070 0.250
Te 0.368 0.368 0.435
Te 0.632 0.632 0.565
Te 0.930 0.930 0.750
Te 0.632 0.632 0.935
Zn 0.464 0.464 0.250
Zn 0.536 0.536 0.750

SG   Cmcm
Energy above the most stable polymorph in this dataset   0.1 meV per atom

No. 9
Computed, not measured: a relaxed structure of Ba2HfInS6 at the GGA-PBE level of DFT.

a b c (Å): 7.145 7.145 7.145
angles (deg): 120.00 120.00 60.00
Fractional positions:
Ba 0.750 0.750 0.250
Ba 0.250 0.250 0.750
Hf 0.000 0.000 0.000
In 0.500 0.500 0.500
S 0.247 0.247 0.247
S 0.753 0.247 0.247
S 0.247 0.753 0.247
S 0.753 0.247 0.753
S 0.247 0.753 0.753
S 0.753 0.753 0.753

Raw total energy   -0.201 Ha/atom
SG   Fm-3m

No. 10
Computed, not measured: a relaxed structure of SmMg8Be4 at the GGA-PBE level of DFT.

a b c (Å): 7.264 7.264 7.264
angles (deg): 98.93 98.93 133.58
Fractional positions:
Be 0.371 0.000 0.371
Be 0.000 0.371 0.371
Be 0.629 0.000 0.629
Be 0.000 0.629 0.629
Mg 0.500 0.000 0.000
Mg 0.000 0.500 0.000
Mg 0.741 0.500 0.241
Mg 0.500 0.741 0.241
Mg 0.000 0.000 0.500
Mg 0.500 0.500 0.500
Mg 0.500 0.259 0.759
Mg 0.259 0.500 0.759
Sm 0.000 0.000 0.000

SG   I4/mmm
Energy above the most stable polymorph in this dataset   219.8 meV per atom

No. 11
Computed, not measured: a relaxed structure of LaNdSi4 at the GGA-PBE level of DFT.

a b c (Å): 7.556 7.556 7.556
angles (deg): 147.06 147.06 47.27
Fractional positions:
La 0.000 0.000 0.000
Nd 0.250 0.750 0.500
Si 0.414 0.414 0.000
Si 0.586 0.586 0.000
Si 0.665 0.165 0.500
Si 0.835 0.335 0.500

Raw total energy   -0.216 Ha/atom
SG   I-4m2

No. 12
Computed, not measured: a relaxed structure of GdDyAg2O4 at the GGA-PBE level of DFT.

a b c (Å): 3.517 3.517 12.488
angles (deg): 90.00 90.00 120.00
Fractional positions:
Ag 0.333 0.667 0.249
Ag 0.667 0.333 0.751
Dy 0.000 0.000 0.000
Gd 0.000 0.000 0.500
O 0.333 0.667 0.083
O 0.333 0.667 0.414
O 0.667 0.333 0.586
O 0.667 0.333 0.917

Raw total energy   -0.243 Ha/atom
SG   P-3m1

Going through the records in order, we get total magnetization values of 0.00 2.59 0.01 0.00 0.02 0.00 3.98 0.00 0.00 0.02 0.01 0.00 μB per cell.